# 1
Here is a relaxed structure of CsGeAu4 from Alexandria. Energies are from PBE.

Cell lengths 7.2568, 6.8240, 7.1713 Å; angles 118.41, 83.66, 90.00 degrees
Fractional coordinates of all 12 atoms:
Cs 0.1498 0.2137 0.4275
Au 0.6292 0.8786 0.1654
Au 0.3708 0.7132 0.8346
Au 0.0000 0.7223 0.0000
Cs 0.8502 0.7863 0.5725
Au 0.3780 0.7265 0.4530
Au 0.3708 0.1214 0.8346
Au 0.6220 0.2735 0.5470
Au 0.6292 0.2868 0.1654
Au 0.0000 0.2777 0.0000
Ge 0.2920 0.5401 0.0801
Ge 0.7080 0.4599 0.9199

Summary:
symmetry	C2/m, No. 12
total magnetization	0.00	μB/f.u.
calculated formation energy	-13.57	kJ/mol of atoms
mass density	10.65	g/cm³
volume	25.82	A^3/atom

---

# 2
Here is a relaxed structure of CsGeAu2 from Alexandria. Energies are from PBE.

Cell lengths 4.6693, 4.6693, 7.1501 Å; angles 70.94, 70.94, 60.00 degrees
Fractional coordinates of all 4 atoms:
Cs 0.0000 0.0000 0.0000
Au 0.8107 0.8107 0.5678
Ge 0.5000 0.5000 0.5000
Au 0.1893 0.1893 0.4322

Summary:
symmetry	R-3m, No. 166
total magnetization	0.00	μB/f.u.
calculated formation energy	-17.41	kJ/mol of atoms
mass density	7.96	g/cm³
volume	31.26	A^3/atom

---

# 3
Here is a relaxed structure of Cs2GeAu from Alexandria. Energies are from PBE.

Cell lengths 6.3462, 6.3462, 6.3462 Å; angles 60.00, 60.00, 60.00 degrees
Last column: magnetic moment on the atom in μB.
Fractional coordinates of all 4 atoms:
Cs 0.7500 0.7500 0.7500  0.06
Ge 0.0000 0.0000 0.0000  0.90
Au 0.5000 0.5000 0.5000  0.07
Cs 0.2500 0.2500 0.2500  0.06

Summary:
symmetry	Fm-3m, No. 225
total magnetization	2.98	μB/f.u.
calculated formation energy	16.38	kJ/mol of atoms
mass density	4.92	g/cm³
volume	45.18	A^3/atom

---

no.,ΔE to the lowest computed polymorph (eV per atom)
1,0.000
2,0.099
3,0.370